Computed, not measured: LaNdLuPb after structural relaxation at the PBE level of DFT.

```
LaNdLuPb
1.0
5.6241 0.0000 0.0000
2.8120 4.8706 0.0000
2.8120 1.6235 4.5920
Pb Lu Nd La
1 1 1 1
Direct
0.2500 0.2500 0.2500
0.7500 0.7500 0.7500
0.0000 0.0000 0.0000
0.5000 0.5000 0.5000
```

**Energy of formation from the pure elements**: -0.165 eV/atom
**ρ**: 8.8 g cm⁻³
**Crystal system**: cubic